No. 1
## HoMn3Ga3 (PBE-GGA)

Data for a geometry-optimized HoMn3Ga3 structure.

abc: 6.6902 6.6902 6.6902
angles: 90.00 90.00 90.00
Closest atoms and distances in Å follow each position.
Element x y z (fractional)
Ho  0.0000  0.0000  0.0000  12 Mn 3.74, 12 Ga 3.74
Ho  0.5000  0.5000  0.5000  12 Mn 3.74, 12 Ga 3.74
Mn  0.0000  0.2500  0.5000  4 Ga 2.37
Mn  0.0000  0.7500  0.5000  4 Ga 2.37
Mn  0.2500  0.5000  0.0000  4 Ga 2.37
Mn  0.5000  0.0000  0.2500  4 Ga 2.37
Mn  0.5000  0.0000  0.7500  4 Ga 2.37
Mn  0.7500  0.5000  0.0000  4 Ga 2.37
Ga  0.0000  0.5000  0.2500  4 Mn 2.37
Ga  0.0000  0.5000  0.7500  4 Mn 2.37
Ga  0.2500  0.0000  0.5000  4 Mn 2.37
Ga  0.5000  0.2500  0.0000  4 Mn 2.37
Ga  0.5000  0.7500  0.0000  4 Mn 2.37
Ga  0.7500  0.0000  0.5000  4 Mn 2.37

DFT total energy: -5.422 eV per atom
spin magnetization: 18.771 Bohr magnetons per cell

=====

No. 2
## HoMnGa2 (PBE-GGA)

Data for a geometry-optimized HoMnGa2 structure.

abc: 4.2174 4.2174 15.0213
angles: 90.00 90.00 120.00
Closest atoms and distances in Å follow each position.
Element x y z (fractional)
Ho  0.0000  0.0000  0.0000  8 Ga 2.98-3.29
Ho  0.3333  0.6667  0.6667  8 Ga 2.98-3.29
Ho  0.6667  0.3333  0.3333  8 Ga 2.98-3.29
Mn  0.0000  0.0000  0.5000  6 Ga 2.56
Mn  0.3333  0.6667  0.1667  6 Ga 2.56
Mn  0.6667  0.3333  0.8333  6 Ga 2.56
Ga  0.0000  0.0000  0.2189  3 Mn 2.56
Ga  0.0000  0.0000  0.7811  3 Mn 2.56
Ga  0.3333  0.6667  0.4478  3 Mn 2.56
Ga  0.3333  0.6667  0.8856  3 Mn 2.56
Ga  0.6667  0.3333  0.1144  3 Mn 2.56
Ga  0.6667  0.3333  0.5522  3 Mn 2.56

DFT total energy: -5.274 eV per atom
spin magnetization: 9.440 Bohr magnetons per cell

=====

No. 3
## Ho2MnGa3Ni4 (PBE-GGA)

Data for a geometry-optimized Ho2MnGa3Ni4 structure.

abc: 3.8664 3.8664 10.7453
angles: 90.00 90.00 90.00
Closest atoms and distances in Å follow each position.
Element x y z (fractional)
Ho  0.0000  0.5000  0.2453  4 Ni 2.94, 6 Ga 3.04-3.27, 2 Mn 3.27
Ho  0.5000  0.0000  0.7547  4 Ni 2.94, 6 Ga 3.04-3.27, 2 Mn 3.27
Mn  0.5000  0.5000  0.0000  4 Ni 2.48, 4 Ga 2.73
Ga  0.0000  0.0000  0.0000  4 Ni 2.48, 4 Mn 2.73
Ga  0.0000  0.5000  0.6320  5 Ni 2.40-2.41
Ga  0.5000  0.0000  0.3680  5 Ni 2.40-2.41
Ni  0.0000  0.0000  0.5000  4 Ga 2.40
Ni  0.0000  0.5000  0.8559  3 Ga 2.41-2.48, 2 Mn 2.48
Ni  0.5000  0.0000  0.1441  3 Ga 2.41-2.48, 2 Mn 2.48
Ni  0.5000  0.5000  0.5000  4 Ga 2.40

DFT total energy: -5.522 eV per atom
spin magnetization: 3.349 Bohr magnetons per cell

=====

No. 4
## Ho2MnGa2Ni5 (PBE-GGA)

Data for a geometry-optimized Ho2MnGa2Ni5 structure.

abc: 9.4678 9.4678 3.4089
angles: 90.00 90.00 90.00
Closest atoms and distances in Å follow each position.
Element x y z (fractional)
Ho  0.1755  0.3245  0.0000  3 Ga 2.69-2.87, 2 Ni 2.90
Ho  0.3245  0.8245  0.0000  3 Ga 2.69-2.87, 2 Ni 2.90
Ho  0.6755  0.1755  0.0000  3 Ga 2.69-2.87, 2 Ni 2.90
Ho  0.8245  0.6755  0.0000  3 Ga 2.69-2.87, 2 Ni 2.90
Mn  0.0000  0.0000  0.0000  8 Ni 2.59
Mn  0.5000  0.5000  0.0000  8 Ni 2.59
Ga  0.1233  0.6233  0.0000  6 Ni 2.37-2.48
Ga  0.3767  0.1233  0.0000  6 Ni 2.37-2.48
Ga  0.6233  0.8767  0.0000  6 Ni 2.37-2.48
Ga  0.8767  0.3767  0.0000  6 Ni 2.37-2.48
Ni  0.0000  0.5000  0.5000  4 Ga 2.37
Ni  0.0561  0.8019  0.5000  2 Ga 2.48, 2 Mn 2.59, 2 Ni 2.76
Ni  0.1981  0.0561  0.5000  2 Ga 2.48, 2 Mn 2.59, 2 Ni 2.76
Ni  0.3019  0.5561  0.5000  2 Ga 2.48, 2 Mn 2.59, 2 Ni 2.76
Ni  0.4439  0.3019  0.5000  2 Ga 2.48, 2 Mn 2.59, 2 Ni 2.76
Ni  0.5000  0.0000  0.5000  4 Ga 2.37
Ni  0.5561  0.6981  0.5000  2 Ga 2.48, 2 Mn 2.59, 2 Ni 2.76
Ni  0.6981  0.4439  0.5000  2 Ga 2.48, 2 Mn 2.59, 2 Ni 2.76
Ni  0.8019  0.9439  0.5000  2 Ga 2.48, 2 Mn 2.59, 2 Ni 2.76
Ni  0.9439  0.1981  0.5000  2 Ga 2.48, 2 Mn 2.59, 2 Ni 2.76

DFT total energy: -5.645 eV per atom
spin magnetization: 6.981 Bohr magnetons per cell

=====

No. 5
## PmHoMnGa (PBE-GGA)

Data for a geometry-optimized PmHoMnGa structure.

abc: 7.2063 7.2063 7.2063
angles: 90.00 90.00 90.00
Closest atoms and distances in Å follow each position.
Element x y z (fractional)
Pm  0.0000  0.0000  0.0000  4 Ga 3.12, 4 Mn 3.12
Pm  0.0000  0.5000  0.5000  4 Ga 3.12, 4 Mn 3.12
Pm  0.5000  0.0000  0.5000  4 Ga 3.12, 4 Mn 3.12
Pm  0.5000  0.5000  0.0000  4 Ga 3.12, 4 Mn 3.12
Ho  0.0000  0.0000  0.5000  4 Mn 3.12, 4 Ga 3.12
Ho  0.0000  0.5000  0.0000  4 Mn 3.12, 4 Ga 3.12
Ho  0.5000  0.0000  0.0000  4 Mn 3.12, 4 Ga 3.12
Ho  0.5000  0.5000  0.5000  4 Mn 3.12, 4 Ga 3.12
Mn  0.2500  0.2500  0.2500  4 Pm 3.12, 4 Ho 3.12
Mn  0.2500  0.7500  0.7500  4 Pm 3.12, 4 Ho 3.12
Mn  0.7500  0.2500  0.7500  4 Pm 3.12, 4 Ho 3.12
Mn  0.7500  0.7500  0.2500  4 Pm 3.12, 4 Ho 3.12
Ga  0.2500  0.2500  0.7500  4 Ho 3.12, 4 Pm 3.12
Ga  0.2500  0.7500  0.2500  4 Ho 3.12, 4 Pm 3.12
Ga  0.7500  0.2500  0.2500  4 Ho 3.12, 4 Pm 3.12
Ga  0.7500  0.7500  0.7500  4 Ho 3.12, 4 Pm 3.12

DFT total energy: -5.520 eV per atom
spin magnetization: 13.181 Bohr magnetons per cell

=====

No. 6
## Ho2MnGa3Pt4 (PBE-GGA)

Data for a geometry-optimized Ho2MnGa3Pt4 structure.

abc: 4.0436 4.0436 11.3027
angles: 90.00 90.00 90.00
Closest atoms and distances in Å follow each position.
Element x y z (fractional)
Ho  0.0000  0.5000  0.2502  4 Pt 3.08, 4 Ga 3.15
Ho  0.5000  0.0000  0.7498  4 Pt 3.08, 4 Ga 3.15
Mn  0.0000  0.0000  0.5000  4 Pt 2.62, 4 Ga 2.86
Ga  0.0000  0.5000  0.8657  5 Pt 2.47-2.53
Ga  0.5000  0.0000  0.1343  5 Pt 2.47-2.53
Ga  0.5000  0.5000  0.5000  4 Pt 2.62, 4 Mn 2.86
Pt  0.0000  0.0000  0.0000  4 Ga 2.53
Pt  0.0000  0.5000  0.6474  3 Ga 2.47-2.62, 2 Mn 2.62
Pt  0.5000  0.0000  0.3526  3 Ga 2.47-2.62, 2 Mn 2.62
Pt  0.5000  0.5000  0.0000  4 Ga 2.53

DFT total energy: -6.022 eV per atom
spin magnetization: 3.813 Bohr magnetons per cell